First-principles (PBE-GGA) data for an optimized crystal structure of Tl3BrCl7, as listed in Alexandria via LeMat-Bulk.

Lattice parameters (Å, degrees): 7.626 7.626 9.182 123.21 123.21 67.45
Atoms (fractional coordinates):
Tl (0.000, 0.000, 0.000)
Tl (0.000, 0.501, 0.501)
Tl (0.501, 0.000, 0.501)
Br (0.300, 0.300, 0.324)
Cl (0.189, 0.754, 0.173)
Cl (0.226, 0.226, 0.654)
Cl (0.246, 0.809, 0.827)
Cl (0.716, 0.716, 0.680)
Cl (0.754, 0.189, 0.173)
Cl (0.771, 0.771, 0.343)
Cl (0.809, 0.246, 0.827)

Calculated values
Fermi-level density of states (states/eV/cell): 4.6
Space group: Cm, No. 8
Electronic total energy (eV per cell): -28.3

---

First-principles (PBE-GGA) data for an optimized crystal structure of Ac6Rh2SeBr2, as listed in Alexandria via LeMat-Bulk.

Lattice parameters (Å, degrees): 7.718 7.718 7.920 98.93 98.93 117.96
Atoms (fractional coordinates):
Ac (0.080, 0.427, 0.787)
Ac (0.198, 0.198, 0.218)
Ac (0.427, 0.080, 0.787)
Ac (0.573, 0.920, 0.213)
Ac (0.802, 0.802, 0.782)
Ac (0.920, 0.573, 0.213)
Rh (0.170, 0.830, 0.000)
Rh (0.830, 0.170, 0.000)
Se (0.500, 0.500, 0.000)
Br (0.345, 0.655, 0.500)
Br (0.655, 0.345, 0.500)

Calculated values
Fermi-level density of states (states/eV/cell): 8.0
Space group: C2/m, No. 12
Electronic total energy (eV per cell): -58.1

---

First-principles (PBE-GGA) data for an optimized crystal structure of Li2Ac2InO6, as listed in Alexandria via LeMat-Bulk.

Lattice parameters (Å, degrees): 6.270 6.270 6.270 55.55 55.55 55.55
Atoms (fractional coordinates):
Li (0.072, 0.072, 0.072)
Li (0.928, 0.928, 0.928)
Ac (0.283, 0.283, 0.283)
Ac (0.717, 0.717, 0.717)
In (0.500, 0.500, 0.500)
O (0.251, 0.251, 0.720)
O (0.251, 0.720, 0.251)
O (0.280, 0.749, 0.749)
O (0.720, 0.251, 0.251)
O (0.749, 0.280, 0.749)
O (0.749, 0.749, 0.280)

Calculated values
Fermi-level density of states (states/eV/cell): 4.3
Space group: R-3m, No. 166
Electronic total energy (eV per cell): -68.3

---

First-principles (PBE-GGA) data for an optimized crystal structure of Sm4BiSb5, as listed in Alexandria via LeMat-Bulk.

Lattice parameters (Å, degrees): 16.256 16.256 16.256 164.16 164.16 22.48
Atoms (fractional coordinates):
Sm (0.101, 0.101, 0.000)
Sm (0.300, 0.300, 0.000)
Sm (0.700, 0.700, 0.000)
Sm (0.899, 0.899, 0.000)
Bi (0.500, 0.500, 0.000)
Sb (0.000, 0.000, 0.000)
Sb (0.201, 0.201, 0.000)
Sb (0.399, 0.399, 0.000)
Sb (0.601, 0.601, 0.000)
Sb (0.799, 0.799, 0.000)

Calculated values
Fermi-level density of states (states/eV/cell): 1.9
Space group: I4/mmm, No. 139
Electronic total energy (eV per cell): -52.3

---

First-principles (PBE-GGA) data for an optimized crystal structure of Ca4Pb2F, as listed in Alexandria via LeMat-Bulk.

Lattice parameters (Å, degrees): 7.868 7.016 7.874 90.00 104.62 90.00
Atoms (fractional coordinates):
Ca (0.016, 0.005, 0.253)
Ca (0.016, 0.495, 0.253)
Ca (0.395, 0.250, 0.105)
Ca (0.399, 0.250, 0.592)
Ca (0.601, 0.750, 0.408)
Ca (0.605, 0.750, 0.895)
Ca (0.984, 0.505, 0.747)
Ca (0.984, 0.995, 0.747)
Pb (0.259, 0.750, 0.573)
Pb (0.264, 0.750, 0.058)
Pb (0.736, 0.250, 0.942)
Pb (0.741, 0.250, 0.427)
F (0.218, 0.250, 0.306)
F (0.782, 0.750, 0.694)

Calculated values
Fermi-level density of states (states/eV/cell): 3.3
Space group: P2_1/m, No. 11
Electronic total energy (eV per cell): -51.4

---

First-principles (PBE-GGA) data for an optimized crystal structure of Tl6SnHg4, as listed in Alexandria via LeMat-Bulk.

Lattice parameters (Å, degrees): 9.643 9.643 9.643 141.80 141.80 55.13
Atoms (fractional coordinates):
Tl (0.000, 0.500, 0.500)
Tl (0.127, 0.127, 0.608)
Tl (0.481, 0.873, 0.000)
Tl (0.500, 0.000, 0.500)
Tl (0.519, 0.519, 0.392)
Tl (0.873, 0.481, 0.000)
Sn (0.500, 0.500, 0.000)
Hg (0.049, 0.677, 0.000)
Hg (0.323, 0.323, 0.372)
Hg (0.677, 0.049, 0.000)
Hg (0.951, 0.951, 0.628)

Calculated values
Formation enthalpy at 0 K (eV per atom): 0.027
Fermi-level density of states (states/eV/cell): 3.5
Space group: I-42m, No. 121
Electronic total energy (eV per cell): -19.1